1.
Here is U3IBr7 after structural relaxation from the Alexandria database. Energies are from GGA-PBE.

Calculated values
Its crystal system is monoclinic. The value obtained for the formation energy from raw total energies is -1.113 eV per atom.

abc: 7.9837 7.9837 10.0696
angles: 125.26 125.26 60.39
With the nearest neighbours (Å) after each atom.
Atoms (fractional coordinates):
U 0.0000 0.0000 0.0000  5 Br 2.88-2.97, 1 I 3.15
U 0.0006 0.5028 0.9999  5 Br 2.88-2.97, 1 I 3.15
U 0.5028 0.0006 0.9999  5 Br 2.88-2.97, 1 I 3.15
I 0.3069 0.3069 0.2848  3 U 3.15
Br 0.2220 0.7223 0.7709  2 U 2.88
Br 0.2230 0.2230 0.7712  2 U 2.88
Br 0.2810 0.7801 0.2298  2 U 2.88
Br 0.7108 0.7108 0.7477  3 U 2.97
Br 0.7223 0.2220 0.7709  2 U 2.88
Br 0.7788 0.7788 0.2280  2 U 2.88
Br 0.7801 0.2810 0.2298  2 U 2.88



2.
Here is TbSmTh2Bi5 after structural relaxation from the Alexandria database. Energies are from GGA-PBE.

Calculated values
As for the formation energy from the elements: 0.11 eV per atom. Its crystal system is tetragonal.

abc: 5.4918 5.4918 11.7754
angles: 90.00 90.00 90.00
With the nearest neighbours (Å) after each atom.
Atoms (fractional coordinates):
Tb 0.0000 0.0000 0.0000  2 Bi 2.90
Sm 0.0000 0.0000 0.5000  6 Bi 2.75-2.99
Th 0.5000 0.5000 0.3008  9 Bi 3.54-3.94
Th 0.5000 0.5000 0.6992  9 Bi 3.54-3.94
Bi 0.0000 0.0000 0.2461  1 Tb 2.90, 1 Sm 2.99
Bi 0.0000 0.0000 0.7539  1 Tb 2.90, 1 Sm 2.99
Bi 0.0000 0.5000 0.5000  2 Sm 2.75
Bi 0.5000 0.0000 0.5000  2 Sm 2.75
Bi 0.5000 0.5000 0.0000  2 Th 3.54, 4 Tb 3.88



3.
Here is NdZn2Pd2Au after structural relaxation from the Alexandria database. Energies are from GGA-PBE.

Calculated values
As for the formation energy from the elements: -0.22 eV per atom. Its crystal system is tetragonal.

abc: 4.7618 4.7618 5.6708
angles: 90.00 90.00 90.00
With the nearest neighbours (Å) after each atom.
Atoms (fractional coordinates):
Nd 0.0000 0.0000 0.0000  2 Au 2.84
Zn 0.0000 0.5000 0.5000  2 Au 2.38
Zn 0.5000 0.0000 0.5000  2 Au 2.38
Pd 0.5000 0.5000 0.2456  4 Zn 2.78, 2 Pd 2.79-2.89
Pd 0.5000 0.5000 0.7544  4 Zn 2.78, 2 Pd 2.79-2.89
Au 0.0000 0.0000 0.5000  4 Zn 2.38



4.
Here is HfPaSe3 after structural relaxation from the Alexandria database. Energies are from GGA-PBE.

Calculated values
Its crystal system is orthorhombic. The value obtained for the formation energy from raw total energies is -1.265 eV per atom.

abc: 8.6433 3.7099 14.2822
angles: 90.00 90.00 90.00
With the nearest neighbours (Å) after each atom.
Atoms (fractional coordinates):
Hf 0.1553 0.2500 0.0376  6 Se 2.62-2.75
Hf 0.3447 0.7500 0.5376  6 Se 2.62-2.75
Hf 0.6553 0.2500 0.4624  6 Se 2.62-2.75
Hf 0.8447 0.7500 0.9624  6 Se 2.62-2.75
Pa 0.1465 0.7500 0.2993  8 Se 2.85-3.18
Pa 0.3535 0.2500 0.7993  8 Se 2.85-3.18
Pa 0.6465 0.7500 0.2007  8 Se 2.85-3.18
Pa 0.8535 0.2500 0.7007  8 Se 2.85-3.18
Se 0.0171 0.2500 0.8742  3 Hf 2.62-2.69, 1 Pa 2.85
Se 0.1518 0.7500 0.6903  1 Hf 2.75, 2 Pa 2.98
Se 0.1595 0.2500 0.4570  2 Hf 2.71, 2 Pa 2.92
Se 0.3405 0.7500 0.9570  2 Hf 2.71, 2 Pa 2.92
Se 0.3482 0.2500 0.1903  1 Hf 2.75, 2 Pa 2.98
Se 0.4829 0.7500 0.3742  3 Hf 2.62-2.69, 1 Pa 2.85
Se 0.5171 0.2500 0.6258  3 Hf 2.62-2.69, 1 Pa 2.85
Se 0.6518 0.7500 0.8097  1 Hf 2.75, 2 Pa 2.98
Se 0.6595 0.2500 0.0430  2 Hf 2.71, 2 Pa 2.92
Se 0.8405 0.7500 0.5430  2 Hf 2.71, 2 Pa 2.92
Se 0.8482 0.2500 0.3097  1 Hf 2.75, 2 Pa 2.98
Se 0.9829 0.7500 0.1258  3 Hf 2.62-2.69, 1 Pa 2.85



5.
Here is YTaAs2 after structural relaxation from the Alexandria database. Energies are from GGA-PBE.

Calculated values
The polymorph energy (0 for the lowest one) is 400.0 meV per atom. As for the formation energy from the elements: -0.42 eV per atom. Its crystal system is monoclinic.

abc: 4.9614 4.9614 3.3407
angles: 99.34 99.34 95.20
With the nearest neighbours (Å) after each atom.
Atoms (fractional coordinates):
Y 0.0000 0.0000 0.0000  4 As 2.76
Ta 0.5000 0.5000 0.0000  4 As 2.76
As 0.0000 0.5000 0.5000  2 Ta 2.76, 2 Y 2.76
As 0.5000 0.0000 0.5000  2 Ta 2.76, 2 Y 2.76



6.
Here is LiAlBiPb after structural relaxation from the Alexandria database. Energies are from GGA-PBE.

Calculated values
As for the formation energy from the elements: -0.01 eV per atom. Its crystal system is cubic.

abc: 5.1783 5.1783 5.1783
angles: 60.00 60.00 60.00
With the nearest neighbours (Å) after each atom.
Atoms (fractional coordinates):
Li 0.0000 0.0000 0.0000  4 Pb 3.17, 4 Bi 3.17
Al 0.5000 0.5000 0.5000  4 Pb 3.17, 4 Bi 3.17
Bi 0.2500 0.2500 0.2500  4 Al 3.17, 4 Li 3.17
Pb 0.7500 0.7500 0.7500  4 Al 3.17, 4 Li 3.17



no.,total magnetization (μB/f.u.),E_tot (eV/f.u.)
1,10.00,-59.37
2,0.00,-42.57
3,0.00,-22.30
4,1.02,-36.23
5,0.00,-29.30
6,0.00,-13.27